VASP calculation (PBE) on crystalline Ga2SbIr at its relaxed geometry.

Properties
Raw formation energy, eV/atom: 0.210
Crystal system: tetragonal
Theoretical density, g/cm3: 7.27

Unit cell a=5.8995 b=5.8995 c=11.9008 alpha=90.00 beta=90.00 gamma=90.00
Closest atoms and distances in Å follow each position.
Space group I-42d (No. 122)
One atom of each set of equivalent atoms:
Ga (0.2070, 0.2500, 0.1250)  2 Ir 2.42, 2 Sb 2.72
Sb (0.0000, 0.0000, 0.5000)  4 Ga 2.72
Ir (0.0000, 0.0000, 0.0000)  4 Ga 2.42